This record from Alexandria via LeMat-Bulk describes KRbNa2Li after structural relaxation. The functional is GGA-PBE.

a b c (Å): 6.2643 6.2643 6.9244
angles (deg): 90.00 90.00 90.00
Last column: nearest neighbours and their distance in Å.
Space group P4/mmm (No. 123)
One atom of each set of equivalent atoms:
K: 0.0000 0.0000 0.0000 x1  4 Rb 4.43, 8 Na 4.67
Rb: 0.5000 0.5000 0.0000 x1  2 Li 3.46
Na: 0.0000 0.5000 0.5000 x2  2 Li 3.13
Li: 0.5000 0.5000 0.5000 x1  4 Na 3.13, 2 Rb 3.46

Computed properties:
- Calculated total energy: -1.1762 eV/atom
- M_tot: 0.0 μB per formula unit
- Calculated density: 1.085 Mg/m³
- DOS(E_F): 2.9 states/eV/cell

***

This record from Alexandria via LeMat-Bulk describes YCr2Hg after structural relaxation. The functional is GGA-PBE.

a b c (Å): 3.2489 4.7378 5.7279
angles (deg): 90.00 97.96 90.00
Last column: nearest neighbours and their distance in Å.
Space group P2/m (No. 10)
One atom of each set of equivalent atoms:
Y: 0.0000 0.0000 0.0000 x1  2 Hg 3.09, 8 Cr 3.12-3.34, 2 Y 3.25
Cr: 0.3709 0.5000 0.7408 x2  2 Hg 2.80, 2 Cr 2.97-2.99, 2 Y 3.12
Hg: 0.5000 0.0000 0.5000 x1  4 Cr 2.80, 2 Y 3.09

Computed properties:
- Calculated total energy: -5.9678 eV/atom
- M_tot: 7.8 μB per formula unit
- Calculated density: 7.483 Mg/m³
- DOS(E_F): 4.4 states/eV/cell

***

This record from Alexandria via LeMat-Bulk describes LaSi4Rh after structural relaxation. The functional is GGA-PBE.

a b c (Å): 7.4498 7.4498 7.4498
angles (deg): 90.00 90.00 90.00
Last column: nearest neighbours and their distance in Å.
Space group F-43m (No. 216)
One atom of each set of equivalent atoms:
La: 0.0000 0.0000 0.0000 x4  12 Si 3.09, 4 Rh 3.23
Si: 0.1234 0.1234 0.3766 x16  6 Si 2.60-2.67
Rh: 0.2500 0.2500 0.7500 x4  12 Si 3.09, 4 La 3.23

Computed properties:
- M_tot: 0.0 μB per formula unit
- Calculated density: 5.689 Mg/m³
- DOS(E_F): 20.4 states/eV/cell
- Formation energy from raw total energies: 0.00 eV/atom

***

This record from Alexandria via LeMat-Bulk describes Ca2AlW after structural relaxation. The functional is GGA-PBE.

a b c (Å): 4.2553 4.2553 4.8385
angles (deg): 90.00 90.00 90.00
Last column: nearest neighbours and their distance in Å.
Space group P4/mmm (No. 123)
One atom of each set of equivalent atoms:
Ca: 0.0000 0.5000 0.0000 x2  4 Ca 3.01, 4 W 3.22, 4 Al 3.22
Al: 0.0000 0.0000 0.5000 x1  4 W 3.01, 8 Ca 3.22
W: 0.5000 0.5000 0.5000 x1  4 Al 3.01, 8 Ca 3.22

Computed properties:
- Calculated total energy: -4.5164 eV/atom
- M_tot: 0.0 μB per formula unit
- Calculated density: 5.515 Mg/m³
- DOS(E_F): 3.0 states/eV/cell

***

This record from Alexandria via LeMat-Bulk describes Li10MgAg4 after structural relaxation. The functional is GGA-PBE.

a b c (Å): 8.0890 8.0890 8.2502
angles (deg): 90.00 90.00 90.00
Last column: nearest neighbours and their distance in Å.
Space group I4/m (No. 87)
One atom of each set of equivalent atoms:
Li: 0.0000 0.5000 0.2500 x4  4 Ag 2.57, 4 Li 2.59
Li: 0.1142 0.7853 0.1604 x16  5 Li 2.59-2.78, 1 Ag 2.78
Mg: 0.0000 0.0000 0.5000 x2  4 Ag 2.77
Ag: 0.0867 0.6686 0.5000 x8  4 Li 2.57-2.78, 1 Mg 2.77

Computed properties:
- Calculated total energy: -2.1917 eV/atom
- M_tot: 0.0 μB per formula unit
- Calculated density: 3.231 Mg/m³
- DOS(E_F): 12.3 states/eV/cell

***

This record from Alexandria via LeMat-Bulk describes Dy2Ho5Th3 after structural relaxation. The functional is GGA-PBE.

a b c (Å): 11.1798 5.0208 11.2430
angles (deg): 90.00 90.52 90.00
Last column: nearest neighbours and their distance in Å.
Space group C2/m (No. 12)
One atom of each set of equivalent atoms:
Dy: 0.0974 0.0000 0.2986 x4  4 Th 3.51-3.58, 8 Ho 3.52-3.58
Ho: 0.0000 0.5000 0.5000 x2  2 Th 3.53, 6 Ho 3.54-3.55, 4 Dy 3.56
Ho: 0.1998 0.0000 0.6012 x4  4 Dy 3.52-3.58, 6 Ho 3.54-3.58, 2 Th 3.55
Ho: 0.1998 0.5000 0.0997 x4  7 Th 3.54-3.55, 3 Ho 3.54-3.55, 2 Dy 3.56
Th: 0.0000 0.0000 0.0000 x2  2 Dy 3.52, 6 Ho 3.54-3.55, 4 Th 3.56
Th: 0.0989 0.5000 0.7995 x4  3 Dy 3.51-3.58, 7 Ho 3.53-3.55, 2 Th 3.56

Computed properties:
- Calculated total energy: -5.4012 eV/atom
- M_tot: 0.0 μB per formula unit
- Calculated density: 9.714 Mg/m³
- DOS(E_F): 27.9 states/eV/cell

***

This record from Alexandria via LeMat-Bulk describes Ca5Ac4Nd2 after structural relaxation. The functional is GGA-PBE.

a b c (Å): 26.5217 3.7611 9.4355
angles (deg): 90.00 96.58 90.00
Last column: nearest neighbours and their distance in Å.
Space group C2/m (No. 12)
One atom of each set of equivalent atoms:
Ca: 0.0000 0.0000 0.0000 x2  2 Ca 3.76, 2 Nd 3.78, 8 Ac 3.88-3.97
Ca: 0.1815 0.5000 0.4660 x4  2 Ac 3.76-4.03, 7 Ca 3.76-4.08, 2 Nd 4.07
Ca: 0.2244 0.0000 0.8188 x4  7 Ca 3.76-4.00, 1 Nd 3.77, 3 Ac 3.86-3.90
Ac: 0.0409 0.5000 0.3548 x4  4 Ac 3.69-4.00, 3 Ca 3.76-3.88, 4 Nd 3.78-3.83
Ac: 0.1326 0.5000 0.0458 x4  3 Ac 3.76-4.00, 2 Nd 3.85, 6 Ca 3.86-4.03
Nd: 0.0835 0.0000 0.7018 x4  2 Nd 3.76, 4 Ca 3.77-4.07, 6 Ac 3.78-3.85

Computed properties:
- Calculated total energy: -3.1613 eV/atom
- M_tot: 0.0 μB per formula unit
- Calculated density: 4.962 Mg/m³
- DOS(E_F): 31.7 states/eV/cell

***

This record from Alexandria via LeMat-Bulk describes BaSc3O after structural relaxation. The functional is GGA-PBE.

a b c (Å): 4.7743 4.7743 4.7743
angles (deg): 90.00 90.00 90.00
Last column: nearest neighbours and their distance in Å.
Space group Pm-3m (No. 221)
One atom of each set of equivalent atoms:
Ba: 0.0000 0.0000 0.0000 x1  12 Sc 3.38
Sc: 0.0000 0.5000 0.5000 x3  2 O 2.39
O: 0.5000 0.5000 0.5000 x1  6 Sc 2.39

Computed properties:
- M_tot: 0.0 μB per formula unit
- Calculated density: 4.397 Mg/m³
- DOS(E_F): 5.4 states/eV/cell
- Formation energy from raw total energies: -0.65 eV/atom

***

This record from Alexandria via LeMat-Bulk describes NiIr2Br after structural relaxation. The functional is GGA-PBE.

a b c (Å): 2.8219 3.5573 6.6962
angles (deg): 90.00 90.00 90.00
Last column: nearest neighbours and their distance in Å.
Space group Pmm2 (No. 25)
One atom of each set of equivalent atoms:
Ni: 0.0000 0.0000 0.0000 x1  5 Ir 2.57-2.63, 2 Br 2.63, 2 Ni 2.82
Ir: 0.0000 0.0000 0.3835 x1  1 Ni 2.57, 6 Ir 2.58-2.82, 2 Br 2.82
Ir: 0.5000 0.5000 0.1995 x1  6 Ir 2.58-2.82, 4 Ni 2.63
Br: 0.0000 0.5000 0.7100 x1  2 Ni 2.63, 2 Ir 2.82, 2 Br 2.82

Computed properties:
- M_tot: 0.0 μB per formula unit
- Calculated density: 12.921 Mg/m³
- DOS(E_F): 5.1 states/eV/cell
- Formation energy from raw total energies: 0.47 eV/atom

***

This record from Alexandria via LeMat-Bulk describes AgBiP3 after structural relaxation. The functional is GGA-PBE.

a b c (Å): 4.8409 4.8409 4.8409
angles (deg): 90.00 90.00 90.00
Last column: nearest neighbours and their distance in Å.
Space group Pm-3m (No. 221)
One atom of each set of equivalent atoms:
Ag: 0.0000 0.0000 0.0000 x1  6 P 2.42
Bi: 0.5000 0.5000 0.5000 x1  12 P 3.42
P: 0.0000 0.0000 0.5000 x3  2 Ag 2.42

Computed properties:
- Calculated total energy: -3.5967 eV/atom
- M_tot: 0.0 μB per formula unit
- Calculated density: 5.998 Mg/m³
- DOS(E_F): 4.9 states/eV/cell

***

This record from Alexandria via LeMat-Bulk describes SrAlPt2 after structural relaxation. The functional is GGA-PBE.

a b c (Å): 4.0854 4.0854 9.2910
angles (deg): 90.00 90.00 90.00
Last column: nearest neighbours and their distance in Å.
Space group I-4m2 (No. 119)
One atom of each set of equivalent atoms:
Sr: 0.0000 0.0000 0.0000 x2  8 Pt 2.89-3.09, 4 Al 3.09
Al: 0.0000 0.5000 0.7500 x2  8 Pt 2.89-3.09, 4 Sr 3.09
Pt: 0.0000 0.0000 0.5000 x2  4 Sr 2.89, 4 Pt 3.09, 4 Al 3.09
Pt: 0.0000 0.5000 0.2500 x2  4 Al 2.89, 4 Sr 3.09, 4 Pt 3.09

Computed properties:
- Calculated total energy: -4.8081 eV/atom
- M_tot: 0.0 μB per formula unit
- Calculated density: 10.811 Mg/m³
- DOS(E_F): 3.0 states/eV/cell

***

This record from Alexandria via LeMat-Bulk describes Ba2HPb after structural relaxation. The functional is GGA-PBE.

a b c (Å): 5.2351 5.2351 10.0513
angles (deg): 90.00 90.00 90.00
Last column: nearest neighbours and their distance in Å.
Space group P4/nmm (No. 129, origin choice 2)
One atom of each set of equivalent atoms:
Ba: 0.2500 0.2500 0.1458 x2  1 H 2.72
Ba: 0.2500 0.7500 0.5000 x2  4 H 2.75
H: 0.2500 0.2500 0.4169 x2  5 Ba 2.72-2.75
Pb: 0.2500 0.2500 0.7736 x2  1 H 3.59, 9 Ba 3.74-3.80

Computed properties:
- Calculated total energy: -3.1837 eV/atom
- M_tot: 0.6 μB per formula unit
- Calculated density: 5.821 Mg/m³
- DOS(E_F): 11.5 states/eV/cell